VASP calculation (PBE) on crystalline ZrMn2Cu2 at its relaxed geometry.

Calculated values
ΔH_f (0 K), kJ per mole of atoms: 15.5
Total energy, eV per formula unit: -34.28
ρ, Mg/m³: 7.583

```
data_ZrMn2Cu2
_chemical_formula_sum 'Zr1 Mn2 Cu2'
_space_group_name_H-M_alt 'P 1'
_space_group_IT_number 1
_space_group_name_Hall 'P 1'
_cell_length_a 5.682
_cell_length_b 5.682
_cell_length_c 5.682
_cell_angle_alpha 141.07
_cell_angle_beta 141.07
_cell_angle_gamma 56.23
loop_
_atom_site_label
_atom_site_type_symbol
_atom_site_fract_x
_atom_site_fract_y
_atom_site_fract_z
Zr1 Zr 0.000 0.000 0.000
Mn1 Mn 0.404 0.404 0.000
Mn2 Mn 0.596 0.596 0.000
Cu1 Cu 0.250 0.750 0.500
Cu2 Cu 0.750 0.250 0.500
```



VASP calculation (PBE) on crystalline YBe3Bi at its relaxed geometry.

Calculated values
ΔH_f (0 K), kJ per mole of atoms: 156.7
Total energy, eV per formula unit: -13.40
ρ, Mg/m³: 4.420

```
data_YBe3Bi
_chemical_formula_sum 'Y1 Be3 Bi1'
_space_group_name_H-M_alt 'P 1'
_space_group_IT_number 1
_space_group_name_Hall 'P 1'
_cell_length_a 4.960
_cell_length_b 4.960
_cell_length_c 4.960
_cell_angle_alpha 90.00
_cell_angle_beta 90.00
_cell_angle_gamma 90.00
loop_
_atom_site_label
_atom_site_type_symbol
_atom_site_fract_x
_atom_site_fract_y
_atom_site_fract_z
Y1 Y 0.000 0.000 0.000
Be1 Be 0.000 0.000 0.500
Be2 Be 0.000 0.500 0.000
Be3 Be 0.500 0.000 0.000
Bi1 Bi 0.500 0.500 0.500
```



VASP calculation (PBE) on crystalline LaPPt2 at its relaxed geometry.

Calculated values
ΔH_f (0 K), kJ per mole of atoms: -77.3
Total energy, eV per formula unit: -25.62
ρ, Mg/m³: 11.098

```
data_LaPPt2
_chemical_formula_sum 'La1 P1 Pt2'
_space_group_name_H-M_alt 'P 1'
_space_group_IT_number 1
_space_group_name_Hall 'P 1'
_cell_length_a 3.925
_cell_length_b 3.800
_cell_length_c 5.901
_cell_angle_alpha 90.00
_cell_angle_beta 107.81
_cell_angle_gamma 90.00
loop_
_atom_site_label
_atom_site_type_symbol
_atom_site_fract_x
_atom_site_fract_y
_atom_site_fract_z
La1 La 0.000 0.000 0.000
P1 P 0.134 0.500 0.650
Pt1 Pt 0.373 0.000 0.540
Pt2 Pt 0.647 0.500 0.292
```



VASP calculation (PBE) on crystalline Tb2AlO at its relaxed geometry.

Calculated values
Formation energy without anion corrections, meV/atom: -1142
Total energy, eV per formula unit: -22.53
ρ, Mg/m³: 8.244

```
data_Tb2AlO
_chemical_formula_sum 'Tb2 Al1 O1'
_space_group_name_H-M_alt 'P 1'
_space_group_IT_number 1
_space_group_name_Hall 'P 1'
_cell_length_a 3.073
_cell_length_b 3.073
_cell_length_c 7.697
_cell_angle_alpha 90.00
_cell_angle_beta 90.00
_cell_angle_gamma 90.00
loop_
_atom_site_label
_atom_site_type_symbol
_atom_site_fract_x
_atom_site_fract_y
_atom_site_fract_z
Tb1 Tb 0.000 0.000 0.203
Tb2 Tb 0.000 0.000 0.797
Al1 Al 0.500 0.500 0.500
O1 O 0.500 0.500 0.000
```



VASP calculation (PBE) on crystalline PmTm2Ga at its relaxed geometry.

Calculated values
ΔH_f (0 K), kJ per mole of atoms: -22.4
Total energy, eV per formula unit: -17.65
ρ, Mg/m³: 8.721

```
data_PmTm2Ga
_chemical_formula_sum 'Pm1 Tm2 Ga1'
_space_group_name_H-M_alt 'P 1'
_space_group_IT_number 1
_space_group_name_Hall 'P 1'
_cell_length_a 4.731
_cell_length_b 4.731
_cell_length_c 4.701
_cell_angle_alpha 90.00
_cell_angle_beta 90.00
_cell_angle_gamma 90.00
loop_
_atom_site_label
_atom_site_type_symbol
_atom_site_fract_x
_atom_site_fract_y
_atom_site_fract_z
Pm1 Pm 0.000 0.000 0.000
Tm1 Tm 0.000 0.500 0.500
Tm2 Tm 0.500 0.000 0.500
Ga1 Ga 0.500 0.500 0.000
```



VASP calculation (PBE) on crystalline Rb2BaLi2 at its relaxed geometry.

Calculated values
ΔH_f (0 K), kJ per mole of atoms: 19.5
Total energy, eV per formula unit: -6.67
ρ, Mg/m³: 1.925

```
data_Rb2BaLi2
_chemical_formula_sum 'Rb4 Ba2 Li4'
_space_group_name_H-M_alt 'P 1'
_space_group_IT_number 1
_space_group_name_Hall 'P 1'
_cell_length_a 10.315
_cell_length_b 10.315
_cell_length_c 5.222
_cell_angle_alpha 90.00
_cell_angle_beta 90.00
_cell_angle_gamma 90.00
loop_
_atom_site_label
_atom_site_type_symbol
_atom_site_fract_x
_atom_site_fract_y
_atom_site_fract_z
Rb1 Rb 0.171 0.329 0.000
Rb2 Rb 0.329 0.829 0.000
Rb3 Rb 0.671 0.171 0.000
Rb4 Rb 0.829 0.671 0.000
Ba1 Ba 0.000 0.000 0.500
Ba2 Ba 0.500 0.500 0.500
Li1 Li 0.116 0.616 0.500
Li2 Li 0.384 0.116 0.500
Li3 Li 0.616 0.884 0.500
Li4 Li 0.884 0.384 0.500
```